(1)
Entry from Alexandria: MgIn2Ag4 after structural relaxation (PBE).

- E_form: -0.0466 eV/atom
- Relative energy among the computed polymorphs: 0 kJ/mol of formula units
- Fermi-level density of states: 0.3 states/eV/f.u.
- Total magnetization: 0.00 μB/atom
- Density: 8.06 Mg/m³

Structure (CIF):
```
data_MgIn2Ag4
_chemical_formula_sum 'Mg4 In8 Ag16'
_cell_length_a 4.7167
_cell_length_b 8.1665
_cell_length_c 14.6665
_cell_angle_alpha 90.00
_cell_angle_beta 90.00
_cell_angle_gamma 90.00
_symmetry_space_group_name_H-M 'C m c m'
_symmetry_Int_Tables_number 63
_symmetry_space_group_name_Hall '-C 2c 2'
loop_
_atom_site_label
_atom_site_type_symbol
_atom_site_fract_x
_atom_site_fract_y
_atom_site_fract_z
Mg1 Mg 0.0000 0.0009 0.2500
In1 In 0.0000 0.3335 0.0619
Ag1 Ag 0.0000 0.0000 0.0000
Ag2 Ag 0.0000 0.3326 0.6524
Ag3 Ag 0.0000 0.3342 0.2500
```

***

(2)
Entry from Alexandria: Nd5Y2HoTh after structural relaxation (PBE).

- E_form: 0.1388 eV/atom
- Fermi-level density of states: 13.1 states/eV/f.u.
- Total magnetization: 0.00 μB/atom
- Density: 6.86 Mg/m³

Structure (CIF):
```
data_Nd5Y2HoTh
_chemical_formula_sum 'Nd20 Y8 Ho4 Th4'
_cell_length_a 5.4342
_cell_length_b 21.7745
_cell_length_c 10.6114
_cell_angle_alpha 90.00
_cell_angle_beta 90.00
_cell_angle_gamma 90.00
_symmetry_space_group_name_H-M 'C m c m'
_symmetry_Int_Tables_number 63
_symmetry_space_group_name_Hall '-C 2c 2'
loop_
_atom_site_label
_atom_site_type_symbol
_atom_site_fract_x
_atom_site_fract_y
_atom_site_fract_z
Nd1 Nd 0.0000 0.0000 0.0000
Nd2 Nd 0.0000 0.1249 0.2500
Nd3 Nd 0.0000 0.2218 0.5569
Nd4 Nd 0.0000 0.4984 0.7500
Y1 Y 0.0000 0.3868 0.0025
Ho1 Ho 0.0000 0.1021 0.7500
Th1 Th 0.0000 0.2862 0.2500
```

***

(3)
Entry from Alexandria: CsB4S7 after structural relaxation (PBE).

- Fermi-level density of states: 7.5 states/eV/f.u.
- Uncorrected formation energy: -0.434 eV per atom
- Total magnetization: 0.06 μB/atom
- Density: 3.13 Mg/m³

Structure (CIF):
```
data_CsB4S7
_chemical_formula_sum 'Cs2 B8 S14'
_cell_length_a 13.7097
_cell_length_b 5.7352
_cell_length_c 5.3986
_cell_angle_alpha 90.00
_cell_angle_beta 90.00
_cell_angle_gamma 90.00
_symmetry_space_group_name_H-M 'P m n 21'
_symmetry_Int_Tables_number 31
_symmetry_space_group_name_Hall 'P 2ac -2'
loop_
_atom_site_label
_atom_site_type_symbol
_atom_site_fract_x
_atom_site_fract_y
_atom_site_fract_z
Cs1 Cs 0.0000 0.2059 0.0000
B1 B 0.1275 0.6671 0.5958
B2 B 0.2487 0.1755 0.5694
S1 S 0.0000 0.7941 0.4895
S2 S 0.1318 0.7089 0.9479
S3 S 0.1360 0.3518 0.4875
S4 S 0.2341 0.8531 0.4448
```

***

(4)
Entry from Alexandria: Y2MnAs after structural relaxation (PBE).

- E_form: -0.2389 eV/atom
- Fermi-level density of states: 4.4 states/eV/f.u.
- Total magnetization: 0.90 μB/atom
- Density: 5.46 Mg/m³

Structure (CIF):
```
data_Y2MnAs
_chemical_formula_sum 'Y2 Mn1 As1'
_cell_length_a 3.4607
_cell_length_b 3.4607
_cell_length_c 7.8070
_cell_angle_alpha 90.00
_cell_angle_beta 90.00
_cell_angle_gamma 90.00
_symmetry_space_group_name_H-M 'P 4 m m'
_symmetry_Int_Tables_number 99
_symmetry_space_group_name_Hall 'P 4 -2'
loop_
_atom_site_label
_atom_site_type_symbol
_atom_site_fract_x
_atom_site_fract_y
_atom_site_fract_z
Y1 Y 0.0000 0.0000 0.0000
Y2 Y 0.5000 0.5000 0.3635
Mn1 Mn 0.5000 0.5000 0.7541
As1 As 0.0000 0.0000 0.6154
```

***

(5)
Entry from Alexandria: TbHo2AlS6 after structural relaxation (PBE).

- Fermi-level density of states: 0.0 states/eV/f.u.
- Uncorrected formation energy: -1.748 eV per atom
- Total magnetization: 0.00 μB/atom
- Density: 5.06 Mg/m³

Structure (CIF):
```
data_TbHo2AlS6
_chemical_formula_sum 'Tb3 Ho6 Al3 S18'
_cell_length_a 6.7130
_cell_length_b 6.7130
_cell_length_c 17.8523
_cell_angle_alpha 90.00
_cell_angle_beta 90.00
_cell_angle_gamma 120.00
_symmetry_space_group_name_H-M 'R 3'
_symmetry_Int_Tables_number 146
_symmetry_space_group_name_Hall 'R 3'
loop_
_atom_site_label
_atom_site_type_symbol
_atom_site_fract_x
_atom_site_fract_y
_atom_site_fract_z
Tb1 Tb 0.0000 0.0000 0.0000
Ho1 Ho 0.0000 0.0000 0.2933
Ho2 Ho 0.0000 0.0000 0.7969
Al1 Al 0.0000 0.0000 0.4946
S1 S 0.0016 0.3713 0.2310
S2 S 0.0533 0.6780 0.0718
```

***

(6)
Entry from Alexandria: CaNpTl2Se4 after structural relaxation (PBE).

- Fermi-level density of states: 8.5 states/eV/f.u.
- Uncorrected formation energy: -1.075 eV per atom
- Total magnetization: 0.37 μB/atom
- Density: 6.95 Mg/m³

Structure (CIF):
```
data_CaNpTl2Se4
_chemical_formula_sum 'Ca1 Np1 Tl2 Se4'
_cell_length_a 7.3062
_cell_length_b 4.2590
_cell_length_c 8.0699
_cell_angle_alpha 90.00
_cell_angle_beta 107.50
_cell_angle_gamma 90.00
_symmetry_space_group_name_H-M 'P 1 2/m 1'
_symmetry_Int_Tables_number 10
_symmetry_space_group_name_Hall '-P 2y'
loop_
_atom_site_label
_atom_site_type_symbol
_atom_site_fract_x
_atom_site_fract_y
_atom_site_fract_z
Ca1 Ca 0.0000 0.0000 0.0000
Np1 Np 0.5000 0.5000 0.0000
Tl1 Tl 0.0000 0.5000 0.5000
Tl2 Tl 0.5000 0.0000 0.5000
Se1 Se 0.2516 0.5000 0.2054
Se2 Se 0.2784 0.0000 0.7961
```

***

(7)
Entry from Alexandria: SrPr2Nd after structural relaxation (PBE).

- E_form: 0.2002 eV/atom
- Relative energy among the computed polymorphs: 49 kJ/mol of formula units
- Fermi-level density of states: 8.1 states/eV/f.u.
- Total magnetization: 0.30 μB/atom
- Density: 5.46 Mg/m³

Structure (CIF):
```
data_SrPr2Nd
_chemical_formula_sum 'Sr4 Pr8 Nd4'
_cell_length_a 8.5504
_cell_length_b 8.5504
_cell_length_c 8.5504
_cell_angle_alpha 90.00
_cell_angle_beta 90.00
_cell_angle_gamma 90.00
_symmetry_space_group_name_H-M 'F m -3 m'
_symmetry_Int_Tables_number 225
_symmetry_space_group_name_Hall '-F 4 2 3'
loop_
_atom_site_label
_atom_site_type_symbol
_atom_site_fract_x
_atom_site_fract_y
_atom_site_fract_z
Sr1 Sr 0.0000 0.0000 0.0000
Pr1 Pr 0.2500 0.2500 0.2500
Nd1 Nd 0.0000 0.0000 0.5000
```

***

(8)
Entry from Alexandria: CsRe3S after structural relaxation (PBE).

- Relative energy among the computed polymorphs: 0 kJ/mol of formula units
- Fermi-level density of states: 4.8 states/eV/f.u.
- Uncorrected formation energy: 1.900 eV per atom
- Total magnetization: 0.54 μB/atom
- Density: 12.20 Mg/m³

Structure (CIF):
```
data_CsRe3S
_chemical_formula_sum 'Cs1 Re3 S1'
_cell_length_a 4.6186
_cell_length_b 4.6186
_cell_length_c 4.6186
_cell_angle_alpha 90.00
_cell_angle_beta 90.00
_cell_angle_gamma 90.00
_symmetry_space_group_name_H-M 'P m -3 m'
_symmetry_Int_Tables_number 221
_symmetry_space_group_name_Hall '-P 4 2 3'
loop_
_atom_site_label
_atom_site_type_symbol
_atom_site_fract_x
_atom_site_fract_y
_atom_site_fract_z
Cs1 Cs 0.0000 0.0000 0.0000
Re1 Re 0.0000 0.5000 0.5000
S1 S 0.5000 0.5000 0.5000
```

***

(9)
Entry from Alexandria: ScVAgN2 after structural relaxation (PBE).

- Fermi-level density of states: 8.1 states/eV/f.u.
- Uncorrected formation energy: 1.480 eV per atom
- Total magnetization: 0.00 μB/atom
- Density: 4.45 Mg/m³

Structure (CIF):
```
data_ScVAgN2
_chemical_formula_sum 'Sc1 V1 Ag1 N2'
_cell_length_a 4.0751
_cell_length_b 4.0751
_cell_length_c 5.2083
_cell_angle_alpha 90.00
_cell_angle_beta 90.00
_cell_angle_gamma 90.00
_symmetry_space_group_name_H-M 'P 4/m m m'
_symmetry_Int_Tables_number 123
_symmetry_space_group_name_Hall '-P 4 2'
loop_
_atom_site_label
_atom_site_type_symbol
_atom_site_fract_x
_atom_site_fract_y
_atom_site_fract_z
Sc1 Sc 0.0000 0.0000 0.0000
V1 V 0.0000 0.0000 0.5000
Ag1 Ag 0.5000 0.5000 0.5000
N1 N 0.0000 0.5000 0.0000
```

***

(10)
Entry from Alexandria: Sm3Te2Rh after structural relaxation (PBE).

- Relative energy among the computed polymorphs: 0 kJ/mol of formula units
- Fermi-level density of states: 5.3 states/eV/f.u.
- Uncorrected formation energy: -1.125 eV per atom
- Total magnetization: 0.00 μB/atom
- Density: 7.63 Mg/m³

Structure (CIF):
```
data_Sm3Te2Rh
_chemical_formula_sum 'Sm6 Te4 Rh2'
_cell_length_a 4.1821
_cell_length_b 6.2471
_cell_length_c 13.4820
_cell_angle_alpha 90.00
_cell_angle_beta 90.00
_cell_angle_gamma 90.00
_symmetry_space_group_name_H-M 'I m m m'
_symmetry_Int_Tables_number 71
_symmetry_space_group_name_Hall '-I 2 2'
loop_
_atom_site_label
_atom_site_type_symbol
_atom_site_fract_x
_atom_site_fract_y
_atom_site_fract_z
Sm1 Sm 0.0000 0.0000 0.0000
Sm2 Sm 0.0000 0.0000 0.3626
Te1 Te 0.0000 0.5000 0.3218
Rh1 Rh 0.0000 0.5000 0.0000
```

***

(11)
Entry from Alexandria: Ba2MgTlH after structural relaxation (PBE).

- Relative energy among the computed polymorphs: 0 kJ/mol of formula units
- Fermi-level density of states: 3.3 states/eV/f.u.
- Total magnetization: 0.00 μB/atom
- Density: 5.45 Mg/m³

Structure (CIF):
```
data_Ba2MgTlH
_chemical_formula_sum 'Ba2 Mg1 Tl1 H1'
_cell_length_a 5.7864
_cell_length_b 5.7864
_cell_length_c 4.5891
_cell_angle_alpha 90.00
_cell_angle_beta 90.00
_cell_angle_gamma 90.00
_symmetry_space_group_name_H-M 'P 4/m m m'
_symmetry_Int_Tables_number 123
_symmetry_space_group_name_Hall '-P 4 2'
loop_
_atom_site_label
_atom_site_type_symbol
_atom_site_fract_x
_atom_site_fract_y
_atom_site_fract_z
Ba1 Ba 0.0000 0.5000 0.0000
Mg1 Mg 0.0000 0.0000 0.5000
Tl1 Tl 0.5000 0.5000 0.5000
H1 H 0.0000 0.0000 0.0000
```

***

(12)
Entry from Alexandria: Sm6Ni2AsI3 after structural relaxation (PBE).

- Fermi-level density of states: 11.0 states/eV/f.u.
- Uncorrected formation energy: -0.843 eV per atom
- Total magnetization: 0.00 μB/atom
- Density: 6.90 Mg/m³

Structure (CIF):
```
data_Sm6Ni2AsI3
_chemical_formula_sum 'Sm12 Ni4 As2 I6'
_cell_length_a 7.2726
_cell_length_b 12.5698
_cell_length_c 8.1355
_cell_angle_alpha 90.00
_cell_angle_beta 107.35
_cell_angle_gamma 90.00
_symmetry_space_group_name_H-M 'C 1 2/m 1'
_symmetry_Int_Tables_number 12
_symmetry_space_group_name_Hall '-C 2y'
loop_
_atom_site_label
_atom_site_type_symbol
_atom_site_fract_x
_atom_site_fract_y
_atom_site_fract_z
Sm1 Sm 0.2095 0.0000 0.1854
Sm2 Sm 0.2391 0.3239 0.1861
Ni1 Ni 0.0000 0.1671 0.0000
As1 As 0.0000 0.5000 0.0000
I1 I 0.0000 0.0000 0.5000
I2 I 0.0000 0.3382 0.5000
```

***

(13)
Entry from Alexandria: Ac2GdTm after structural relaxation (PBE).

- E_form: 0.0906 eV/atom
- Relative energy among the computed polymorphs: 17 kJ/mol of formula units
- Fermi-level density of states: 7.4 states/eV/f.u.
- Total magnetization: 1.93 μB/atom
- Density: 8.56 Mg/m³

Structure (CIF):
```
data_Ac2GdTm
_chemical_formula_sum 'Ac8 Gd4 Tm4'
_cell_length_a 8.4607
_cell_length_b 8.4607
_cell_length_c 8.4607
_cell_angle_alpha 90.00
_cell_angle_beta 90.00
_cell_angle_gamma 90.00
_symmetry_space_group_name_H-M 'F m -3 m'
_symmetry_Int_Tables_number 225
_symmetry_space_group_name_Hall '-F 4 2 3'
loop_
_atom_site_label
_atom_site_type_symbol
_atom_site_fract_x
_atom_site_fract_y
_atom_site_fract_z
Ac1 Ac 0.2500 0.2500 0.2500
Gd1 Gd 0.0000 0.0000 0.0000
Tm1 Tm 0.0000 0.0000 0.5000
```

***

(14)
Entry from Alexandria: KZn3Ga4 after structural relaxation (PBE).

- E_form: -0.0427 eV/atom
- Fermi-level density of states: 3.4 states/eV/f.u.
- Total magnetization: 0.00 μB/atom
- Density: 5.13 Mg/m³

Structure (CIF):
```
data_KZn3Ga4
_chemical_formula_sum 'K1 Zn3 Ga4'
_cell_length_a 4.4529
_cell_length_b 4.4529
_cell_length_c 8.4012
_cell_angle_alpha 90.00
_cell_angle_beta 90.00
_cell_angle_gamma 90.00
_symmetry_space_group_name_H-M 'P 4/m m m'
_symmetry_Int_Tables_number 123
_symmetry_space_group_name_Hall '-P 4 2'
loop_
_atom_site_label
_atom_site_type_symbol
_atom_site_fract_x
_atom_site_fract_y
_atom_site_fract_z
K1 K 0.0000 0.0000 0.0000
Zn1 Zn 0.0000 0.0000 0.5000
Zn2 Zn 0.5000 0.5000 0.1542
Ga1 Ga 0.0000 0.5000 0.3302
```

***

(15)
Entry from Alexandria: BaMg2ZnAu after structural relaxation (PBE).

- E_form: -0.2561 eV/atom
- Fermi-level density of states: 3.5 states/eV/f.u.
- Total magnetization: 0.04 μB/atom
- Density: 5.38 Mg/m³

Structure (CIF):
```
data_BaMg2ZnAu
_chemical_formula_sum 'Ba1 Mg2 Zn1 Au1'
_cell_length_a 5.2078
_cell_length_b 5.2078
_cell_length_c 5.0978
_cell_angle_alpha 90.00
_cell_angle_beta 90.00
_cell_angle_gamma 90.00
_symmetry_space_group_name_H-M 'P 4/m m m'
_symmetry_Int_Tables_number 123
_symmetry_space_group_name_Hall '-P 4 2'
loop_
_atom_site_label
_atom_site_type_symbol
_atom_site_fract_x
_atom_site_fract_y
_atom_site_fract_z
Ba1 Ba 0.0000 0.0000 0.0000
Mg1 Mg 0.0000 0.5000 0.5000
Zn1 Zn 0.5000 0.5000 0.0000
Au1 Au 0.5000 0.5000 0.5000
```

***

(16)
Entry from Alexandria: Pu2InI after structural relaxation (PBE).

- Fermi-level density of states: 14.3 states/eV/f.u.
- Uncorrected formation energy: -0.300 eV per atom
- Total magnetization: 3.05 μB/atom
- Density: 10.88 Mg/m³

Structure (CIF):
```
data_Pu2InI
_chemical_formula_sum 'Pu2 In1 I1'
_cell_length_a 3.5561
_cell_length_b 3.5561
_cell_length_c 8.8062
_cell_angle_alpha 90.00
_cell_angle_beta 90.00
_cell_angle_gamma 90.00
_symmetry_space_group_name_H-M 'P 4/m m m'
_symmetry_Int_Tables_number 123
_symmetry_space_group_name_Hall '-P 4 2'
loop_
_atom_site_label
_atom_site_type_symbol
_atom_site_fract_x
_atom_site_fract_y
_atom_site_fract_z
Pu1 Pu 0.0000 0.0000 0.2487
In1 In 0.5000 0.5000 0.0000
I1 I 0.5000 0.5000 0.5000
```

***

(17)
Entry from Alexandria: CsRb3In after structural relaxation (PBE).

- E_form: 0.0677 eV/atom
- Relative energy among the computed polymorphs: 37 kJ/mol of formula units
- Fermi-level density of states: 3.7 states/eV/f.u.
- Total magnetization: 0.00 μB/atom
- Density: 2.06 Mg/m³

Structure (CIF):
```
data_CsRb3In
_chemical_formula_sum 'Cs1 Rb3 In1'
_cell_length_a 7.4038
_cell_length_b 7.4038
_cell_length_c 7.4038
_cell_angle_alpha 90.00
_cell_angle_beta 90.00
_cell_angle_gamma 90.00
_symmetry_space_group_name_H-M 'P m -3 m'
_symmetry_Int_Tables_number 221
_symmetry_space_group_name_Hall '-P 4 2 3'
loop_
_atom_site_label
_atom_site_type_symbol
_atom_site_fract_x
_atom_site_fract_y
_atom_site_fract_z
Cs1 Cs 0.0000 0.0000 0.0000
Rb1 Rb 0.0000 0.5000 0.5000
In1 In 0.5000 0.5000 0.5000
```

***

(18)
Entry from Alexandria: MnRe2Ru after structural relaxation (PBE).

- E_form: 0.0755 eV/atom
- Relative energy among the computed polymorphs: 27 kJ/mol of formula units
- Fermi-level density of states: 3.9 states/eV/f.u.
- Total magnetization: 0.34 μB/atom
- Density: 15.71 Mg/m³

Structure (CIF):
```
data_MnRe2Ru
_chemical_formula_sum 'Mn2 Re4 Ru2'
_cell_length_a 8.9112
_cell_length_b 2.7159
_cell_length_c 4.6882
_cell_angle_alpha 90.00
_cell_angle_beta 100.12
_cell_angle_gamma 90.00
_symmetry_space_group_name_H-M 'C 1 m 1'
_symmetry_Int_Tables_number 8
_symmetry_space_group_name_Hall 'C -2y'
loop_
_atom_site_label
_atom_site_type_symbol
_atom_site_fract_x
_atom_site_fract_y
_atom_site_fract_z
Mn1 Mn 0.0000 0.0000 0.0000
Re1 Re 0.2540 0.0000 0.7666
Re2 Re 0.4990 0.0000 0.4943
Ru1 Ru 0.2506 0.5000 0.2550
```